{"formula": "Ca3Mg2WN6", "functional": "GGA-PBE", "state": "relaxed", "total_energy_ev_per_atom": -6.656, "sg": "C2/m, No. 12", "raw_formation_energy_ev_per_atom": -0.6481, "cell": [[5.630, 0.000, 0.001], [-2.814, 4.877, 0.001], [-0.938, -1.625, 5.447]], "species": ["Ca", "Ca", "Ca", "Mg", "Mg", "W", "N", "N", "N", "N", "N", "N"], "frac_coords": [[0.170, 0.830, 0.500], [0.830, 0.170, 0.500], [0.500, 0.500, 0.500], [0.333, 0.667, 0.000], [0.667, 0.333, 0.000], [0.000, 0.000, 0.000], [0.929, 0.622, 0.786], [0.766, 0.766, 0.212], [0.071, 0.378, 0.214], [0.622, 0.929, 0.786], [0.234, 0.234, 0.788], [0.378, 0.071, 0.214]]}